Entry 1:
12
Lattice="-2.896 3.703 8.890 2.896 -3.703 8.890 2.896 3.703 -8.890" Properties=species:S:1:pos:R:3 comment="Tb5Ho6Th PBE-GGA relaxed" rho_g_cm3=8.78 sg="Immm (71)" total_energy_ev_per_atom=-4.72 de_polymorph_mev_per_atom=96 delta_e_f_ev_per_atom=0.12 pbc="T T T"
Tb 0.000 0.000 0.000
Tb 2.896 0.000 2.750
Tb 0.000 0.000 6.136
Tb 0.000 0.000 11.644
Tb 0.000 3.703 6.140
Ho 2.896 -1.837 5.711
Ho 2.896 1.871 0.000
Ho 0.000 1.866 3.179
Ho 2.896 1.837 5.711
Ho 0.000 1.832 8.890
Ho 0.000 5.540 3.179
Th 0.000 3.703 0.000



Entry 2:
22
Lattice="5.480 3.164 4.549 -5.480 3.164 4.549 0.000 -6.327 4.549" Properties=species:S:1:pos:R:3 comment="SmPa4P6 PBE-GGA relaxed" rho_g_cm3=8.85 sg="R-3c (167)" total_energy_ev_per_atom=-7.86 delta_e_f_ev_per_atom=-1.03 pbc="T T T"
Sm 0.000 0.000 0.000
Sm 0.000 0.000 6.823
Pa -3.360 0.507 5.686
Pa 0.000 0.000 3.412
Pa -2.119 -2.656 7.960
Pa 1.241 -3.164 5.686
Pa -1.241 3.164 7.960
Pa 2.119 2.656 5.686
Pa 0.000 0.000 10.235
Pa 3.360 -0.507 7.960
P -4.644 -1.143 7.491
P -1.332 -4.593 6.155
P -1.332 -1.734 5.217
P -3.311 3.450 6.155
P -0.836 2.021 5.217
P -2.168 0.287 8.429
P 2.168 -0.287 5.217
P 0.836 -2.021 8.429
P 3.311 -3.450 7.491
P 1.332 1.734 8.429
P 1.332 4.593 7.491
P 4.644 1.143 6.155



Entry 3:
12
Lattice="4.445 0.000 0.000 0.000 4.445 0.000 0.000 0.000 13.181" Properties=species:S:1:pos:R:3 comment="Li2TmCd9 PBE-GGA relaxed" rho_g_cm3=7.62 sg="P4/mmm (123)" total_energy_ev_per_atom=-1.56 delta_e_f_ev_per_atom=-0.18 pbc="T T T"
Li 0.000 0.000 2.155
Li 0.000 0.000 11.025
Tm 0.000 0.000 6.590
Cd 0.000 2.222 0.000
Cd 0.000 2.222 4.250
Cd 0.000 2.222 8.931
Cd 2.222 0.000 0.000
Cd 2.222 0.000 4.250
Cd 2.222 0.000 8.931
Cd 2.222 2.222 2.093
Cd 2.222 2.222 6.590
Cd 2.222 2.222 11.087



Entry 4:
12
Lattice="3.078 -6.798 0.000 3.078 6.798 0.000 0.000 0.000 5.524" Properties=species:S:1:pos:R:3 comment="TbSi3RuRh PBE-GGA relaxed" rho_g_cm3=6.42 sg="Cmcm (63)" total_energy_ev_per_atom=-6.77 formation_energy_uncorrected_mev_per_atom=-520 pbc="T T T"
Tb 3.078 4.259 4.143
Tb 3.078 -4.259 1.381
Si 3.078 3.686 1.381
Si 1.775 0.000 0.000
Si 1.775 0.000 2.762
Si 4.380 0.000 0.000
Si 4.380 0.000 2.762
Si 3.078 -3.686 4.143
Ru 3.078 5.919 1.381
Ru 3.078 -5.919 4.143
Rh 3.078 1.461 1.381
Rh 3.078 -1.461 4.143



Entry 5:
16
Lattice="6.144 0.000 0.000 0.000 6.144 0.000 0.000 0.000 6.144" Properties=species:S:1:pos:R:3 comment="CdPF2 PBE-GGA relaxed" rho_g_cm3=5.19 sg="Fm-3m (225)" total_energy_ev_per_atom=-3.01 de_polymorph_mev_per_atom=681 formation_energy_uncorrected_mev_per_atom=-498 pbc="T T T"
Cd 0.000 0.000 0.000
Cd 0.000 3.072 3.072
Cd 3.072 0.000 3.072
Cd 3.072 3.072 0.000
P 0.000 0.000 3.072
P 0.000 3.072 0.000
P 3.072 0.000 0.000
P 3.072 3.072 3.072
F 1.536 1.536 1.536
F 1.536 1.536 4.608
F 1.536 4.608 1.536
F 1.536 4.608 4.608
F 4.608 1.536 1.536
F 4.608 1.536 4.608
F 4.608 4.608 1.536
F 4.608 4.608 4.608



Entry 6:
4
Lattice="2.618 0.000 0.000 0.000 2.618 0.000 0.000 0.000 7.806" Properties=species:S:1:pos:R:3 comment="CrCu2Ag PBE-GGA relaxed" rho_g_cm3=8.91 sg="P4mm (99)" total_energy_ev_per_atom=-4.82 de_polymorph_mev_per_atom=64 delta_e_f_ev_per_atom=0.35 pbc="T T T"
Cr 0.000 0.000 0.000
Cu 0.000 0.000 3.558
Cu 1.309 1.309 1.791
Ag 1.309 1.309 5.644



Entry 7:
6
Lattice="6.292 0.000 0.000 0.000 3.655 0.000 -0.613 0.000 6.449" Properties=species:S:1:pos:R:3 comment="MgVCl4 PBE-GGA relaxed" rho_g_cm3=2.43 sg="P2/m (10)" total_energy_ev_per_atom=-4.52 formation_energy_uncorrected_mev_per_atom=-1499 pbc="T T T"
Mg 0.000 0.000 0.000
V 3.146 1.827 0.000
Cl 1.064 1.827 1.372
Cl 1.510 0.000 5.092
Cl 4.168 0.000 1.357
Cl 4.615 1.827 5.077



Entry 8:
12
Lattice="4.080 0.000 0.000 -2.040 3.533 0.000 0.000 0.000 27.977" Properties=species:S:1:pos:R:3 comment="PmPr2Ir PBE-GGA relaxed" rho_g_cm3=7.65 sg="R3m (160)" total_energy_ev_per_atom=-6.03 de_polymorph_mev_per_atom=201 delta_e_f_ev_per_atom=-0.23 pbc="T T T"
Pm 0.000 0.000 0.000
Pm 0.000 2.355 18.651
Pm 2.040 1.178 9.326
Pr 0.000 0.000 15.569
Pr 0.000 0.000 21.665
Pr 0.000 2.355 6.244
Pr 0.000 2.355 12.340
Pr 2.040 1.178 3.014
Pr 2.040 1.178 24.895
Ir 0.000 0.000 4.625
Ir 0.000 2.355 23.276
Ir 2.040 1.178 13.950



Entry 9:
20
Lattice="4.648 -7.748 0.000 4.648 7.748 0.000 -1.298 0.000 9.657" Properties=species:S:1:pos:R:3 comment="Tb2Pr6YEr PBE-GGA relaxed" rho_g_cm3=6.78 sg="C2/c (15)" total_energy_ev_per_atom=-4.78 delta_e_f_ev_per_atom=0.11 pbc="T T T"
Tb 2.260 0.772 0.435
Tb 1.611 -0.772 5.264
Tb 6.388 0.772 4.393
Tb 5.739 -0.772 9.221
Pr 2.424 4.308 1.832
Pr 3.374 4.980 5.340
Pr 3.976 4.980 9.145
Pr 3.210 1.654 3.690
Pr 6.224 4.308 2.997
Pr 5.438 1.654 1.138
Pr 2.561 -1.654 8.519
Pr 1.775 -4.308 6.660
Pr 4.789 -1.654 5.966
Pr 4.023 -4.980 0.512
Pr 4.625 -4.980 4.317
Pr 5.575 -4.308 7.825
Y 4.324 7.351 2.414
Y 3.675 -7.351 7.243
Er 3.675 1.372 7.243
Er 4.324 -1.372 2.414



Entry 10:
16
Lattice="6.015 0.000 0.000 0.000 6.015 0.000 0.000 0.000 6.015" Properties=species:S:1:pos:R:3 comment="PtClF2 PBE-GGA relaxed" rho_g_cm3=8.20 sg="Fm-3m (225)" total_energy_ev_per_atom=-2.63 de_polymorph_mev_per_atom=1142 formation_energy_uncorrected_mev_per_atom=279 pbc="T T T"
Pt 0.000 0.000 0.000
Pt 0.000 3.008 3.008
Pt 3.008 0.000 3.008
Pt 3.008 3.008 0.000
Cl 0.000 0.000 3.008
Cl 0.000 3.008 0.000
Cl 3.008 0.000 0.000
Cl 3.008 3.008 3.008
F 1.504 1.504 1.504
F 1.504 1.504 4.511
F 1.504 4.511 1.504
F 1.504 4.511 4.511
F 4.511 1.504 1.504
F 4.511 1.504 4.511
F 4.511 4.511 1.504
F 4.511 4.511 4.511



Entry 11:
6
Lattice="3.161 0.000 0.000 0.000 3.161 0.000 0.000 0.000 9.290" Properties=species:S:1:pos:R:3 comment="TmReF PBE-GGA relaxed" rho_g_cm3=13.39 sg="P4/nmm (129)" total_energy_ev_per_atom=-7.88 formation_energy_uncorrected_mev_per_atom=-1618 pbc="T T T"
Tm 0.790 0.790 1.831
Tm 2.371 2.371 7.459
Re 0.790 0.790 5.314
Re 2.371 2.371 3.976
F 0.790 0.790 8.674
F 2.371 2.371 0.617



Entry 12:
7
Lattice="2.213 1.278 9.592 -2.213 1.278 9.592 0.000 -2.556 9.592" Properties=species:S:1:pos:R:3 comment="Li2La2ErSi2 PBE-GGA relaxed" rho_g_cm3=5.25 sg="R-3m (166)" total_energy_ev_per_atom=-4.56 formation_energy_uncorrected_mev_per_atom=-406 pbc="T T T"
Li 0.000 0.000 3.326
Li 0.000 0.000 25.451
La 0.000 0.000 10.845
La 0.000 0.000 17.932
Er 0.000 0.000 14.389
Si 0.000 0.000 6.499
Si 0.000 0.000 22.278



Entry 13:
4
Lattice="4.162 0.000 0.000 0.000 4.162 0.000 0.000 0.000 3.676" Properties=species:S:1:pos:R:3 comment="ZrCo2Te PBE-GGA relaxed" rho_g_cm3=8.78 sg="P4/mmm (123)" total_energy_ev_per_atom=-6.59 formation_energy_uncorrected_mev_per_atom=-111 pbc="T T T"
Zr 0.000 0.000 0.000
Co 0.000 2.081 1.838
Co 2.081 0.000 1.838
Te 2.081 2.081 0.000



Entry 14:
10
Lattice="3.431 0.000 0.000 0.000 3.431 0.000 0.000 0.000 17.462" Properties=species:S:1:pos:R:3 comment="Tl2Cu2Ag PBE-GGA relaxed" rho_g_cm3=10.40 sg="I4/mmm (139)" total_energy_ev_per_atom=-2.91 de_polymorph_mev_per_atom=8 delta_e_f_ev_per_atom=0.24 pbc="T T T"
Tl 0.000 0.000 1.983
Tl 0.000 0.000 15.479
Tl 1.715 1.715 6.748
Tl 1.715 1.715 10.714
Cu 0.000 1.715 4.365
Cu 0.000 1.715 13.096
Cu 1.715 0.000 4.365
Cu 1.715 0.000 13.096
Ag 0.000 0.000 8.731
Ag 1.715 1.715 0.000



Entry 15:
12
Lattice="3.728 0.000 0.000 -1.864 3.228 0.000 0.000 0.000 24.359" Properties=species:S:1:pos:R:3 comment="SrSi2Se PBE-GGA relaxed" rho_g_cm3=3.79 sg="R-3m (166)" total_energy_ev_per_atom=-3.76 formation_energy_uncorrected_mev_per_atom=245 pbc="T T T"
Sr 0.000 0.000 0.000
Sr 0.000 2.152 16.239
Sr 1.864 1.076 8.120
Si 0.000 0.000 5.676
Si 0.000 0.000 18.683
Si 0.000 2.152 10.564
Si 0.000 2.152 21.915
Si 1.864 1.076 2.444
Si 1.864 1.076 13.795
Se 0.000 0.000 12.179
Se 0.000 2.152 4.060
Se 1.864 1.076 20.299



Entry 16:
8
Lattice="9.550 0.000 0.000 0.000 2.808 0.000 -0.321 0.000 5.411" Properties=species:S:1:pos:R:3 comment="ScCdMo2 PBE-GGA relaxed" rho_g_cm3=7.99 sg="Cm (8)" total_energy_ev_per_atom=-6.93 delta_e_f_ev_per_atom=0.29 pbc="T T T"
Sc 0.000 0.000 0.000
Sc 4.775 1.404 0.000
Cd 2.188 0.000 4.062
Cd 6.964 1.404 4.062
Mo -0.001 1.404 2.584
Mo 2.364 1.404 1.426
Mo 4.774 0.000 2.584
Mo 7.139 0.000 1.426



Entry 17:
14
Lattice="5.588 -3.106 0.000 5.588 3.106 0.000 -1.234 0.000 6.441" Properties=species:S:1:pos:R:3 comment="DyPBrO4 PBE-GGA relaxed" rho_g_cm3=5.01 sg="C2/m (12)" total_energy_ev_per_atom=-6.97 formation_energy_uncorrected_mev_per_atom=-2463 pbc="T T T"
Dy 1.847 0.000 2.071
Dy 8.097 0.000 4.370
P 0.583 0.000 4.882
P 9.360 0.000 1.559
Br 4.284 0.000 5.298
Br 5.659 0.000 1.143
O -0.298 0.000 1.722
O 3.128 1.886 2.336
O 0.992 0.000 6.354
O 6.815 1.886 4.104
O 3.128 -1.886 2.336
O 8.952 0.000 0.087
O 6.815 -1.886 4.104
O 10.242 0.000 4.719



Entry 18:
5
Lattice="4.537 0.000 0.000 0.000 4.537 0.000 0.000 0.000 5.072" Properties=species:S:1:pos:R:3 comment="ReAgP2S PBE-GGA relaxed" rho_g_cm3=6.17 sg="P4/mmm (123)" total_energy_ev_per_atom=-5.41 de_polymorph_mev_per_atom=0 formation_energy_uncorrected_mev_per_atom=635 pbc="T T T"
Re 0.000 0.000 0.000
Ag 2.269 2.269 2.536
P 0.000 2.269 0.000
P 2.269 0.000 0.000
S 0.000 0.000 2.536



Entry 19:
10
Lattice="-3.473 3.473 4.547 3.473 -3.473 4.547 3.473 3.473 -4.547" Properties=species:S:1:pos:R:3 comment="Rb2CuNCl6 PBE-GGA relaxed" rho_g_cm3=3.49 sg="I4/mmm (139)" total_energy_ev_per_atom=-3.01 formation_energy_uncorrected_mev_per_atom=-468 pbc="T T T"
Rb 3.473 0.000 2.273
Rb 0.000 3.473 2.273
Cu 0.000 0.000 0.000
N 0.000 0.000 4.547
Cl 0.000 0.000 2.295
Cl 1.781 1.781 0.000
Cl 1.692 -1.692 4.547
Cl -1.692 1.692 4.547
Cl 1.692 1.692 4.547
Cl 0.000 0.000 6.798



Entry 20:
5
Lattice="5.499 0.000 0.000 0.000 5.499 0.000 0.000 0.000 5.173" Properties=species:S:1:pos:R:3 comment="InReSn2Au PBE-GGA relaxed" rho_g_cm3=7.81 sg="P4/mmm (123)" total_energy_ev_per_atom=-3.68 delta_e_f_ev_per_atom=1.61 pbc="T T T"
In 0.000 0.000 0.000
Re 0.000 0.000 2.587
Sn 0.000 2.749 0.000
Sn 2.749 0.000 0.000
Au 2.749 2.749 2.587



Entry 21:
8
Lattice="3.098 0.000 0.000 0.000 4.650 0.000 0.000 0.000 12.086" Properties=species:S:1:pos:R:3 comment="MgReBr2 PBE-GGA relaxed" rho_g_cm3=7.06 sg="Imm2 (44)" total_energy_ev_per_atom=-3.83 de_polymorph_mev_per_atom=466 formation_energy_uncorrected_mev_per_atom=512 pbc="T T T"
Mg 0.000 0.000 0.000
Mg 1.549 2.325 6.043
Re 0.000 2.325 3.739
Re 1.549 0.000 9.782
Br 0.000 0.000 7.615
Br 0.000 2.325 10.055
Br 1.549 0.000 4.012
Br 1.549 2.325 1.572



Entry 22:
6
Lattice="3.816 0.000 0.000 0.000 3.816 0.000 0.000 0.000 11.690" Properties=species:S:1:pos:R:3 comment="AcHo2Cd3 PBE-GGA relaxed" rho_g_cm3=8.72 sg="P4/mmm (123)" total_energy_ev_per_atom=-2.96 delta_e_f_ev_per_atom=-0.29 pbc="T T T"
Ac 0.000 0.000 0.000
Ho 0.000 0.000 4.025
Ho 0.000 0.000 7.666
Cd 1.908 1.908 2.298
Cd 1.908 1.908 5.845
Cd 1.908 1.908 9.392



Entry 23:
10
Lattice="7.280 0.000 0.000 0.000 7.280 0.000 0.000 0.000 3.120" Properties=species:S:1:pos:R:3 comment="MgTi2Tc2 PBE-GGA relaxed" rho_g_cm3=6.35 sg="P4/mbm (127)" total_energy_ev_per_atom=-7.69 de_polymorph_mev_per_atom=0 delta_e_f_ev_per_atom=-0.07 pbc="T T T"
Mg 0.000 0.000 0.000
Mg 3.640 3.640 0.000
Ti 1.089 2.551 1.560
Ti 2.551 6.192 1.560
Ti 4.729 1.089 1.560
Ti 6.192 4.729 1.560
Tc 1.067 4.707 0.000
Tc 2.573 1.067 0.000
Tc 4.707 6.213 0.000
Tc 6.213 2.573 0.000



Entry 24:
14
Lattice="8.399 0.000 0.000 0.000 12.148 0.000 0.000 0.000 3.969" Properties=species:S:1:pos:R:3 comment="MgTl2Cl4 PBE-GGA relaxed" rho_g_cm3=4.71 sg="Pbam (55)" total_energy_ev_per_atom=-3.33 de_polymorph_mev_per_atom=4 formation_energy_uncorrected_mev_per_atom=-1367 pbc="T T T"
Mg 0.000 0.000 0.000
Mg 4.199 6.074 0.000
Tl 0.610 3.912 1.985
Tl 3.589 9.986 1.985
Tl 4.810 2.162 1.985
Tl 7.788 8.236 1.985
Cl 1.132 9.940 0.000
Cl 1.507 0.797 1.985
Cl 2.692 6.871 1.985
Cl 3.068 3.866 0.000
Cl 5.331 8.282 0.000
Cl 5.707 5.277 1.985
Cl 6.891 11.351 1.985
Cl 7.267 2.208 0.000